# TlIn2Co

TlIn2Co after structural relaxation (PBE, Alexandria via LeMat-Bulk).

The energy above the most stable polymorph in this dataset is 6.7 kJ/mol of atoms. The crystal system is orthorhombic. For the density of states at the Fermi level, the calculation gives 2.73 states/eV/f.u. The energy of formation comes out at 0.222 eV/atom.

Cell lengths 7.044, 7.044, 7.044 Å; angles 155.42, 142.55, 45.31 degrees
Positions (direct):
Tl: 0.250 0.750 0.500
Co: 0.750 0.250 0.500
In: 0.930 0.930 0.000
In: 0.570 0.570 0.000

=====

# NdEu2Lu

NdEu2Lu after structural relaxation (PBE, Alexandria via LeMat-Bulk).

The energy above the most stable polymorph in this dataset is 4.5 kJ/mol of atoms. The crystal system is cubic. For the density of states at the Fermi level, the calculation gives 4.69 states/eV/f.u. The energy of formation comes out at 0.158 eV/atom.

Cell lengths 5.872, 5.872, 5.872 Å; angles 60.00, 60.00, 60.00 degrees
Each line ends with the local moment (μB).
Positions (direct):
Nd: 0.500 0.500 0.500  0.03
Eu: 0.250 0.250 0.250  6.84
Eu: 0.750 0.750 0.750  6.84
Lu: 0.000 0.000 0.000  0.04

=====

# CuSeCl2

CuSeCl2 after structural relaxation (PBE, Alexandria via LeMat-Bulk).

The uncorrected formation energy comes out at -0.1144 eV/atom. The energy above the most stable polymorph in this dataset is 17.6 kJ/mol of atoms. The crystal system is orthorhombic. For the density of states at the Fermi level, the calculation gives 1.82 states/eV/f.u.

Cell lengths 3.926, 3.926, 8.536 Å; angles 90.00, 90.00, 129.00 degrees
Positions (direct):
Se: 0.500 0.500 0.705
Cl: 0.000 0.000 0.941
Cl: 0.500 0.500 0.342
Cu: 0.000 0.000 0.512

=====

# Tb3TlAs

Tb3TlAs after structural relaxation (PBE, Alexandria via LeMat-Bulk).

The crystal system is orthorhombic. For the density of states at the Fermi level, the calculation gives 4.03 states/eV/f.u. The energy of formation comes out at -0.724 eV/atom.

Cell lengths 4.530, 7.664, 16.067 Å; angles 90.00, 90.00, 90.00 degrees
Positions (direct):
Tl: 0.250 0.089 0.192
Tl: 0.750 0.411 0.692
Tl: 0.750 0.911 0.808
Tl: 0.250 0.589 0.308
As: 0.250 0.775 0.542
As: 0.250 0.275 0.958
As: 0.750 0.725 0.042
As: 0.750 0.225 0.458
Tb: 0.250 0.511 0.101
Tb: 0.750 0.132 0.054
Tb: 0.750 0.489 0.899
Tb: 0.250 0.188 0.773
Tb: 0.750 0.312 0.273
Tb: 0.750 0.989 0.601
Tb: 0.750 0.812 0.227
Tb: 0.250 0.011 0.399
Tb: 0.250 0.868 0.946
Tb: 0.250 0.688 0.727
Tb: 0.250 0.368 0.554
Tb: 0.750 0.632 0.446

=====

# HfRuC2

HfRuC2 after structural relaxation (PBE, Alexandria via LeMat-Bulk).

The energy above the most stable polymorph in this dataset is 25.0 kJ/mol of atoms. The crystal system is cubic. For the density of states at the Fermi level, the calculation gives 2.34 states/eV/f.u. The energy of formation comes out at 0.476 eV/atom.

Cell lengths 3.916, 3.916, 3.916 Å; angles 60.00, 60.00, 60.00 degrees
Positions (direct):
Ru: 0.000 0.000 0.000
C: 0.750 0.750 0.750
C: 0.250 0.250 0.250
Hf: 0.500 0.500 0.500

=====

# BaCuSnMo2

BaCuSnMo2 after structural relaxation (PBE, Alexandria via LeMat-Bulk).

The energy above the most stable polymorph in this dataset is 49.2 kJ/mol of atoms. The crystal system is tetragonal. For the density of states at the Fermi level, the calculation gives 9.33 states/eV/f.u. The energy of formation comes out at 1.860 eV/atom.

Cell lengths 5.065, 6.271, 5.065 Å; angles 90.00, 90.00, 90.00 degrees
Positions (direct):
Ba: 0.000 0.500 0.000
Mo: 0.000 0.000 0.500
Mo: 0.500 0.000 0.000
Sn: 0.000 0.000 0.000
Cu: 0.500 0.500 0.500

=====

# PmFeGe2Pd

PmFeGe2Pd after structural relaxation (PBE, Alexandria via LeMat-Bulk).

The crystal system is tetragonal. For the density of states at the Fermi level, the calculation gives 4.73 states/eV/f.u. The energy of formation comes out at -0.614 eV/atom.

Cell lengths 4.229, 4.229, 5.911 Å; angles 110.96, 110.96, 90.00 degrees
Each line ends with the local moment (μB).
Positions (direct):
Ge: 0.625 0.625 0.250  -0.03
Ge: 0.375 0.375 0.750  -0.03
Pd: 0.250 0.750 0.500  0.06
Fe: 0.750 0.250 0.500  2.16
Pm: 0.000 0.000 0.000  0.03

=====

# BP2Pb

BP2Pb after structural relaxation (PBE, Alexandria via LeMat-Bulk).

The energy above the most stable polymorph in this dataset is 117.9 kJ/mol of atoms. The crystal system is cubic. For the density of states at the Fermi level, the calculation gives 2.18 states/eV/f.u. The energy of formation comes out at 1.396 eV/atom.

Cell lengths 4.673, 4.673, 4.673 Å; angles 60.00, 60.00, 60.00 degrees
Positions (direct):
Pb: 0.500 0.500 0.500
B: 0.000 0.000 0.000
P: 0.250 0.250 0.250
P: 0.750 0.750 0.750